Record 1
Density functional theory data (PBEsol) for a relaxed structure of MgTlZn2In.

Structure (extended XYZ):
```
5
Lattice="-2.790 -4.233 0.172 3.200 -2.241 -3.236 3.163 -1.905 4.446" Properties=species:S:1:pos:R:3 pbc="T T T"
Mg 1.786 -4.189 0.690
Tl 0.000 0.000 0.000
Zn 1.600 -1.120 -1.618
Zn -1.395 -2.116 0.086
In 1.581 -0.952 2.223
```

Properties
Energy relative to the elements in eV per atom: 0.587
Calculated density in g/cm³: 5.30
Size of the total moment in μB/f.u.: 0.000
Space-group type: No. 123
VASP energy in eV for the cell shown: -7.56



Record 2
Density functional theory data (PBEsol) for a relaxed structure of TmMgIn.

Structure (extended XYZ):
```
9
Lattice="-0.326 -0.935 4.480 7.271 0.896 0.716 -4.520 5.745 0.870" Properties=species:S:1:pos:R:3 pbc="T T T"
Tm -2.548 3.238 0.491
Tm 4.099 0.505 0.404
Tm 1.201 2.898 0.692
Mg 1.595 -0.251 2.413
Mg 1.923 4.567 3.443
Mg -1.256 0.922 2.451
In -0.752 3.661 3.059
In 0.000 0.000 0.000
In 3.178 2.045 3.008
```

Properties
Energy relative to the elements in eV per atom: -0.395
Calculated density in g/cm³: 7.13
Size of the total moment in μB/f.u.: 0.000
Space-group type: No. 189
VASP energy in eV for the cell shown: -32.35



Record 3
Density functional theory data (PBEsol) for a relaxed structure of YMgIn.

Structure (extended XYZ):
```
9
Lattice="-1.872 -1.818 3.813 2.955 -6.620 -1.704 3.834 4.824 4.182" Properties=species:S:1:pos:R:3 pbc="T T T"
In 2.312 -3.714 2.164
In 2.605 0.100 4.127
In 0.000 0.000 0.000
Mg 4.211 -2.270 3.785
Mg -0.009 0.258 2.918
Mg -0.221 -2.510 1.494
Y 2.950 -0.780 1.077
Y 2.168 2.728 2.365
Y 1.671 -3.744 -0.964
```

Properties
Energy relative to the elements in eV per atom: -0.459
Calculated density in g/cm³: 5.12
Size of the total moment in μB/f.u.: 0.000
Space-group type: No. 189
VASP energy in eV for the cell shown: -38.69



Record 4
Density functional theory data (PBEsol) for a relaxed structure of YMg4In.

Structure (extended XYZ):
```
6
Lattice="-1.137 0.387 -5.773 -4.636 -2.836 -2.289 -4.684 3.047 -1.885" Properties=species:S:1:pos:R:3 pbc="T T T"
In 0.000 0.000 0.000
Mg -4.491 0.418 -6.612
Mg -3.924 0.224 -3.733
Mg -6.260 1.744 -4.673
Mg -6.236 -1.190 -4.875
Y -7.842 0.449 -7.460
```

Properties
Energy relative to the elements in eV per atom: -0.013
Calculated density in g/cm³: 3.45
Size of the total moment in μB/f.u.: 0.000
Space-group type: No. 216
VASP energy in eV for the cell shown: -16.75



Record 5
Density functional theory data (PBEsol) for a relaxed structure of YMgIn.

Structure (extended XYZ):
```
3
Lattice="-1.893 2.394 1.732 -3.842 -3.063 0.033 3.250 -0.096 3.684" Properties=species:S:1:pos:R:3 pbc="T T T"
Y -2.109 -1.276 1.827
Mg -0.692 0.910 3.911
In -1.578 1.995 1.444
```

Properties
Energy relative to the elements in eV per atom: -0.396
Calculated density in g/cm³: 5.16
Size of the total moment in μB/f.u.: 0.000
Space-group type: No. 187
VASP energy in eV for the cell shown: -12.71



Record 6
Density functional theory data (PBEsol) for a relaxed structure of YMgIn2.

Structure (extended XYZ):
```
4
Lattice="3.468 0.000 0.000 -1.734 4.841 0.016 0.000 -1.240 5.929" Properties=species:S:1:pos:R:3 pbc="T T T"
In 1.734 1.458 4.301
In 0.000 2.144 1.643
Mg 0.000 -0.620 2.964
Y 1.734 0.000 0.000
```

Properties
Energy relative to the elements in eV per atom: -0.269
Calculated density in g/cm³: 5.72
Size of the total moment in μB/f.u.: 0.000
Space-group type: No. 12
VASP energy in eV for the cell shown: -15.58



Record 7
Density functional theory data (PBEsol) for a relaxed structure of YMgIn2.

Structure (extended XYZ):
```
4
Lattice="-2.285 3.800 -0.292 -2.505 -1.767 -3.392 -3.017 -1.579 3.051" Properties=species:S:1:pos:R:3 pbc="T T T"
Y -1.142 1.900 -0.146
Mg -3.904 0.227 -0.317
In -1.509 -0.790 1.526
In -1.253 -0.884 -1.696
```

Properties
Energy relative to the elements in eV per atom: -0.479
Calculated density in g/cm³: 6.13
Size of the total moment in μB/f.u.: 0.000
Space-group type: No. 123
VASP energy in eV for the cell shown: -16.42



Record 8
Density functional theory data (PBEsol) for a relaxed structure of YMgIn.

Structure (extended XYZ):
```
3
Lattice="-2.531 3.463 -2.398 -4.866 -0.436 -0.527 -3.017 2.992 2.469" Properties=species:S:1:pos:R:3 pbc="T T T"
In -2.603 1.505 -0.114
Mg 0.000 0.000 0.000
Y -5.207 3.009 -0.228
```

Properties
Energy relative to the elements in eV per atom: -0.249
Calculated density in g/cm³: 4.51
Size of the total moment in μB/f.u.: 0.000
Space-group type: No. 216
VASP energy in eV for the cell shown: -12.27



Question: What is the energy relative to the elements in the eighth record?
Answer: -0.249 eV per atom



Question: Which value of size of the total moment does entry 1 give?
Answer: 0.000 μB/f.u.